No. 1
CoPb2I6 | PBE | optimized geometry

The structure belongs to space group C2/m (No. 12); the cell edges are 15.975, 4.455 and 12.692 Å and the angles 90.00°, 118.40° and 90.00°. The asymmetric unit holds Co at (0.000, 0.000, 0.000), Pb at (0.187, 0.500, 0.306), I at (0.012, 0.000, 0.208), I at (0.150, 0.500, 0.535) and I at (0.180, 0.000, 0.092).

The crystal system is monoclinic. Its formation energy from raw total energies is -0.347 eV per atom. The spin magnetization is 0.96 μB/f.u.

=====

No. 2
Ho5Sb4S | PBE | optimized geometry

The structure belongs to space group I4 (No. 79); the cell edges are 9.555, 9.555 and 6.085 Å and the angles 90.00°, 90.00° and 90.00°. The asymmetric unit holds Ho at (0.000, 0.000, 0.000), Ho at (0.099, 0.286, 0.499), Sb at (0.095, 0.302, 0.999) and S at (0.000, 0.000, 0.498).

The crystal system is tetragonal. Its formation energy from raw total energies is -1.262 eV per atom. The spin magnetization is 0.00 μB/f.u. The calculation puts the excess energy over the best structure of this formula in the dataset at 0.0 kJ/mol of atoms.

=====

No. 3
La3DyYTm | PBE | optimized geometry

The structure belongs to space group P2_1/m (No. 11); the cell edges are 8.089, 5.195 and 10.310 Å and the angles 90.00°, 108.78° and 90.00°. The asymmetric unit holds La at (0.169, 0.250, 0.042), La at (0.169, 0.250, 0.543), La at (0.174, 0.750, 0.294), Dy at (0.499, 0.750, 0.122), Y at (0.172, 0.750, 0.793) and Tm at (0.497, 0.750, 0.627).

The crystal system is monoclinic. The spin magnetization is 0.00 μB/f.u. The value obtained for the formation energy is 0.03 eV per atom.

=====

No. 4
La5NdSn4 | PBE | optimized geometry

The structure belongs to space group Pmmn (No. 59, origin choice 2); the cell edges are 10.276, 10.717 and 7.743 Å and the angles 90.00°, 90.00° and 90.00°. The asymmetric unit holds La at (0.001, 0.048, 0.247), La at (0.250, 0.250, 0.709), Nd at (0.250, 0.750, 0.286), Sn at (0.002, 0.750, 0.057) and Sn at (0.250, 0.503, 0.499).

The crystal system is orthorhombic. The spin magnetization is 1.19 μB/f.u. The value obtained for the formation energy is -0.34 eV per atom.

=====

No. 5
Pr8Ir2Rh | PBE | optimized geometry

The structure belongs to space group Cm (No. 8); the cell edges are 8.568, 12.831 and 6.496 Å and the angles 90.00°, 110.25° and 90.00°. The asymmetric unit holds Pr at (0.000, 0.000, 0.000), Pr at (0.071, 0.367, 0.820), Pr at (0.143, 0.133, 0.586), Pr at (0.213, 0.500, 0.392), Pr at (0.360, 0.203, 0.196), Ir at (0.355, 0.314, 0.696) and Rh at (0.349, 0.000, 0.006).

The crystal system is monoclinic. The spin magnetization is 0.00 μB/f.u. The value obtained for the formation energy is -0.33 eV per atom. The calculation puts the excess energy over the best structure of this formula in the dataset at 3.5 kJ/mol of atoms.

=====

No. 6
Ba3U2SnS9 | PBE | optimized geometry

The structure belongs to space group P-3m1 (No. 164); the cell edges are 7.3999, 7.3999 and 9.0699 Å and the angles 90.00°, 90.00° and 120.00°. The asymmetric unit holds Ba at (0.0000, 0.0000, 0.0000), Ba at (0.3333, 0.6667, 0.6468), U at (0.3333, 0.6667, 0.1684), Sn at (0.0000, 0.0000, 0.5000), S at (0.0000, 0.5000, 0.0000) and S at (0.1703, 0.3407, 0.3292).

The crystal system is trigonal. Its formation energy from raw total energies is -1.481 eV per atom. The spin magnetization is 1.95 μB/f.u.

=====

These records have Fermi-level density of states values of 0.558, 0.243, 1.821, 0.797, 0.902, 0.280 states/eV/atom, in the order they appear.